*a*
# GGA-PBE LuAl2V, optimized geometry
data_LuAl2V
_cell_length_a 3.350
_cell_length_b 3.350
_cell_length_c 6.417
_cell_angle_alpha 90.00
_cell_angle_beta 90.00
_cell_angle_gamma 90.00
_space_group_name_H-M_alt 'P 4/m m m'
_space_group_IT_number 123
_space_group_name_Hall '-P 4 2'
loop_
_atom_site_label
_atom_site_fract_x
_atom_site_fract_y
_atom_site_fract_z
Lu1 0.000 0.000 0.000
Al1 0.500 0.500 0.300
V1 0.000 0.000 0.500
# Crystal system: tetragonal

*b*
# GGA-PBE LuAl2V, optimized geometry
data_LuAl2V
_cell_length_a 2.9858
_cell_length_b 2.9858
_cell_length_c 28.5887
_cell_angle_alpha 90.00
_cell_angle_beta 90.00
_cell_angle_gamma 120.00
_space_group_name_H-M_alt 'R -3 m'
_space_group_IT_number 166
_space_group_name_Hall '-R 3 2"'
loop_
_atom_site_label
_atom_site_fract_x
_atom_site_fract_y
_atom_site_fract_z
Lu1 0.0000 0.0000 0.0000
Al1 0.0000 0.0000 0.2402
V1 0.0000 0.0000 0.5000
# Crystal system: trigonal

Most favorable first, least favorable last: *a*, *b*

*a*
# GGA-PBE Lu2AlV, optimized geometry
data_Lu2AlV
_cell_length_a 7.041
_cell_length_b 7.041
_cell_length_c 7.041
_cell_angle_alpha 90.00
_cell_angle_beta 90.00
_cell_angle_gamma 90.00
_space_group_name_H-M_alt 'F m -3 m'
_space_group_IT_number 225
_space_group_name_Hall '-F 4 2 3'
loop_
_atom_site_label
_atom_site_fract_x
_atom_site_fract_y
_atom_site_fract_z
Lu1 0.250 0.250 0.250
Al1 0.000 0.000 0.000
V1 0.000 0.000 0.500
# Crystal system: cubic

*b*
# GGA-PBE Lu2AlV, optimized geometry
data_Lu2AlV
_cell_length_a 3.2252
_cell_length_b 3.2252
_cell_length_c 31.3061
_cell_angle_alpha 90.00
_cell_angle_beta 90.00
_cell_angle_gamma 120.00
_space_group_name_H-M_alt 'R -3 m'
_space_group_IT_number 166
_space_group_name_Hall '-R 3 2"'
loop_
_atom_site_label
_atom_site_fract_x
_atom_site_fract_y
_atom_site_fract_z
Lu1 0.0000 0.0000 0.0907
Al1 0.0000 0.0000 0.5000
V1 0.0000 0.0000 0.0000
# Crystal system: trigonal

Most favorable first, least favorable last: *a*, *b*

*a*
# GGA-PBE YLu2Al, optimized geometry
data_YLu2Al
_cell_length_a 3.3986
_cell_length_b 3.3986
_cell_length_c 33.9724
_cell_angle_alpha 90.00
_cell_angle_beta 90.00
_cell_angle_gamma 120.00
_space_group_name_H-M_alt 'R -3 m'
_space_group_IT_number 166
_space_group_name_Hall '-R 3 2"'
loop_
_atom_site_label
_atom_site_fract_x
_atom_site_fract_y
_atom_site_fract_z
Y1 0.0000 0.0000 0.0000
Lu1 0.0000 0.0000 0.0996
Al1 0.0000 0.0000 0.5000
# Crystal system: trigonal

*b*
# GGA-PBE YLu2Al, optimized geometry
data_YLu2Al
_cell_length_a 3.484
_cell_length_b 3.484
_cell_length_c 8.808
_cell_angle_alpha 90.00
_cell_angle_beta 90.00
_cell_angle_gamma 90.00
_space_group_name_H-M_alt 'P 4/m m m'
_space_group_IT_number 123
_space_group_name_Hall '-P 4 2'
loop_
_atom_site_label
_atom_site_fract_x
_atom_site_fract_y
_atom_site_fract_z
Y1 0.000 0.000 0.000
Lu1 0.500 0.500 0.288
Al1 0.000 0.000 0.500
# Crystal system: tetragonal

*c*
# GGA-PBE YLu2Al, optimized geometry
data_YLu2Al
_cell_length_a 4.687
_cell_length_b 4.687
_cell_length_c 4.726
_cell_angle_alpha 90.00
_cell_angle_beta 90.00
_cell_angle_gamma 90.00
_space_group_name_H-M_alt 'P 4/m m m'
_space_group_IT_number 123
_space_group_name_Hall '-P 4 2'
loop_
_atom_site_label
_atom_site_fract_x
_atom_site_fract_y
_atom_site_fract_z
Y1 0.000 0.000 0.000
Lu1 0.000 0.500 0.500
Al1 0.500 0.500 0.000
# Crystal system: tetragonal

Most favorable first, least favorable last: *b*, *c*, *a*

*a*
# GGA-PBE LuZrAl, optimized geometry
data_LuZrAl
_cell_length_a 3.266
_cell_length_b 3.266
_cell_length_c 12.707
_cell_angle_alpha 90.00
_cell_angle_beta 90.00
_cell_angle_gamma 90.00
_space_group_name_H-M_alt 'I 4 m m'
_space_group_IT_number 107
_space_group_name_Hall 'I 4 -2'
loop_
_atom_site_label
_atom_site_fract_x
_atom_site_fract_y
_atom_site_fract_z
Lu1 0.000 0.000 0.000
Zr1 0.000 0.000 0.315
Al1 0.000 0.000 0.665
# Crystal system: tetragonal

*b*
# GGA-PBE LuZrAl, optimized geometry
data_LuZrAl
_cell_length_a 5.0027
_cell_length_b 5.0027
_cell_length_c 2.9948
_cell_angle_alpha 90.00
_cell_angle_beta 90.00
_cell_angle_gamma 120.00
_space_group_name_H-M_alt 'P -6 m 2'
_space_group_IT_number 187
_space_group_name_Hall 'P -6 2'
loop_
_atom_site_label
_atom_site_fract_x
_atom_site_fract_y
_atom_site_fract_z
Lu1 0.0000 0.0000 0.0000
Zr1 0.6667 0.3333 0.0000
Al1 0.3333 0.6667 0.5000
# Crystal system: hexagonal

Most favorable first, least favorable last: *a*, *b*

*a*
# GGA-PBE Mg4Al, optimized geometry
data_Mg4Al
_cell_length_a 5.218
_cell_length_b 5.218
_cell_length_c 5.218
_cell_angle_alpha 90.00
_cell_angle_beta 90.00
_cell_angle_gamma 90.00
_space_group_name_H-M_alt 'P m -3 m'
_space_group_IT_number 221
_space_group_name_Hall '-P 4 2 3'
loop_
_atom_site_label
_atom_site_fract_x
_atom_site_fract_y
_atom_site_fract_z
Mg1 0.000 0.000 0.000
Mg2 0.000 0.500 0.500
Al1 0.500 0.500 0.500
# Crystal system: cubic

*b*
# GGA-PBE Mg4Al, optimized geometry
data_Mg4Al
_cell_length_a 3.183
_cell_length_b 4.322
_cell_length_c 8.247
_cell_angle_alpha 75.06
_cell_angle_beta 79.00
_cell_angle_gamma 89.91
_space_group_name_H-M_alt 'P -1'
_space_group_IT_number 2
_space_group_name_Hall '-P 1'
loop_
_atom_site_label
_atom_site_fract_x
_atom_site_fract_y
_atom_site_fract_z
Mg1 0.096 0.094 0.311
Mg2 0.301 0.303 0.895
Al1 0.500 0.500 0.500
# Crystal system: triclinic

Most favorable first, least favorable last: *b*, *a*

*a*
# GGA-PBE Mg7Al, optimized geometry
data_Mg7Al
_cell_length_a 4.413
_cell_length_b 4.413
_cell_length_c 18.117
_cell_angle_alpha 90.00
_cell_angle_beta 90.00
_cell_angle_gamma 90.00
_space_group_name_H-M_alt 'I 4/m m m'
_space_group_IT_number 139
_space_group_name_Hall '-I 4 2'
loop_
_atom_site_label
_atom_site_fract_x
_atom_site_fract_y
_atom_site_fract_z
Mg1 0.000 0.000 0.000
Mg2 0.000 0.000 0.249
Mg3 0.000 0.500 0.121
Al1 0.000 0.000 0.500
# Crystal system: tetragonal

*b*
# GGA-PBE Mg7Al, optimized geometry
data_Mg7Al
_cell_length_a 6.3318
_cell_length_b 6.3318
_cell_length_c 5.0480
_cell_angle_alpha 90.00
_cell_angle_beta 90.00
_cell_angle_gamma 120.00
_space_group_name_H-M_alt 'P -6 m 2'
_space_group_IT_number 187
_space_group_name_Hall 'P -6 2'
loop_
_atom_site_label
_atom_site_fract_x
_atom_site_fract_y
_atom_site_fract_z
Mg1 0.0000 0.0000 0.0000
Mg2 0.0051 0.5025 0.0000
Mg3 0.3326 0.1663 0.5000
Al1 0.3333 0.6667 0.5000
# Crystal system: hexagonal

Most favorable first, least favorable last: *a*, *b*

*a*
# GGA-PBE MgAl6, optimized geometry
data_MgAl6
_cell_length_a 7.315
_cell_length_b 7.315
_cell_length_c 7.315
_cell_angle_alpha 90.00
_cell_angle_beta 90.00
_cell_angle_gamma 90.00
_space_group_name_H-M_alt 'I m -3 m'
_space_group_IT_number 229
_space_group_name_Hall '-I 4 2 3'
loop_
_atom_site_label
_atom_site_fract_x
_atom_site_fract_y
_atom_site_fract_z
Mg1 0.000 0.000 0.000
Al1 0.000 0.250 0.500
# Crystal system: cubic

*b*
# GGA-PBE MgAl6, optimized geometry
data_MgAl6
_cell_length_a 5.623
_cell_length_b 5.623
_cell_length_c 8.387
_cell_angle_alpha 90.00
_cell_angle_beta 90.00
_cell_angle_gamma 90.00
_space_group_name_H-M_alt 'P 4/n b m'
_space_group_IT_number 125
loop_
_space_group_symop_operation_xyz
'x,y,z'
'-x,-y,-z'
'-y+1/2,x,z'
'y+1/2,-x,-z'
'-x+1/2,-y+1/2,z'
'x+1/2,y+1/2,-z'
'y,-x+1/2,z'
'-y,x+1/2,-z'
'x,-y+1/2,-z'
'-x,y+1/2,z'
'-y+1/2,-x+1/2,-z'
'y+1/2,x+1/2,z'
'-x+1/2,y,-z'
'x+1/2,-y,z'
'y,x,-z'
'-y,-x,z'
loop_
_atom_site_label
_atom_site_fract_x
_atom_site_fract_y
_atom_site_fract_z
Mg1 0.250 0.750 0.000
Al1 0.077 0.577 0.360
Al2 0.250 0.250 0.153
# Crystal system: tetragonal

Most favorable first, least favorable last: *b*, *a*

*a*
# GGA-PBE MgMn2Al2, optimized geometry
data_MgMn2Al2
_cell_length_a 3.804
_cell_length_b 3.804
_cell_length_c 11.409
_cell_angle_alpha 90.00
_cell_angle_beta 90.00
_cell_angle_gamma 90.00
_space_group_name_H-M_alt 'I 4/m m m'
_space_group_IT_number 139
_space_group_name_Hall '-I 4 2'
loop_
_atom_site_label
_atom_site_fract_x
_atom_site_fract_y
_atom_site_fract_z
Mg1 0.000 0.000 0.000
Mn1 0.000 0.000 0.401
Al1 0.000 0.500 0.250
# Crystal system: tetragonal

*b*
# GGA-PBE MgMn2Al2, optimized geometry
data_MgMn2Al2
_cell_length_a 7.246
_cell_length_b 7.246
_cell_length_c 2.773
_cell_angle_alpha 90.00
_cell_angle_beta 90.00
_cell_angle_gamma 90.00
_space_group_name_H-M_alt 'P 4/m b m'
_space_group_IT_number 127
_space_group_name_Hall '-P 4 2ab'
loop_
_atom_site_label
_atom_site_fract_x
_atom_site_fract_y
_atom_site_fract_z
Mg1 0.000 0.000 0.000
Mn1 0.108 0.392 0.000
Al1 0.182 0.682 0.500
# Crystal system: tetragonal

*c*
# GGA-PBE MgMn2Al2, optimized geometry
data_MgMn2Al2
_cell_length_a 7.270
_cell_length_b 7.270
_cell_length_c 2.876
_cell_angle_alpha 90.00
_cell_angle_beta 90.00
_cell_angle_gamma 90.00
_space_group_name_H-M_alt 'P 4/m b m'
_space_group_IT_number 127
_space_group_name_Hall '-P 4 2ab'
loop_
_atom_site_label
_atom_site_fract_x
_atom_site_fract_y
_atom_site_fract_z
Mg1 0.000 0.000 0.000
Mn1 0.167 0.333 0.500
Al1 0.129 0.629 0.000
# Crystal system: tetragonal

Most favorable first, least favorable last: *c*, *b*, *a*